(1)
A plane-wave DFT calculation with PBE-GGA was carried out for an optimized crystal structure of LuZrInCu.

The polymorph energy (0 for the lowest one) comes out at 0.0000 eV/atom. The electronic total energy is -4.72 eV/atom. The calculation puts the volume at 21.3 Å³ per atom. The crystal system is cubic.

It has space group F-43m (No. 216), with a = 6.987 Å, b = 6.987 Å, c = 6.987 Å, α = 90.00°, β = 90.00° and γ = 90.00°. The asymmetric unit holds Lu at (0.000, 0.000, 0.000), Zr at (0.250, 0.250, 0.250), In at (0.000, 0.000, 0.500) and Cu at (0.250, 0.250, 0.750).



(2)
A plane-wave DFT calculation with PBE-GGA was carried out for an optimized crystal structure of ScFeBIr.

The polymorph energy (0 for the lowest one) comes out at 0.1327 eV/atom. The electronic total energy is -7.34 eV/atom. The calculation puts the volume at 13.6 Å³ per atom. The crystal system is cubic.

It has space group F-43m (No. 216), with a = 6.018 Å, b = 6.018 Å, c = 6.018 Å, α = 90.00°, β = 90.00° and γ = 90.00°. The asymmetric unit holds Sc at (0.000, 0.000, 0.000), Fe at (0.000, 0.000, 0.500), B at (0.250, 0.250, 0.250) and Ir at (0.250, 0.250, 0.750).



(3)
A plane-wave DFT calculation with PBE-GGA was carried out for an optimized crystal structure of Pm3ThN4.

The electronic total energy is -8.38 eV/atom. The calculation puts the volume at 16.6 Å³ per atom. The crystal system is cubic.

It has space group Pm-3m (No. 221), with a = 5.104 Å, b = 5.104 Å, c = 5.104 Å, α = 90.00°, β = 90.00° and γ = 90.00°. The asymmetric unit holds Pm at (0.000, 0.000, 0.500), Th at (0.500, 0.500, 0.500), N at (0.000, 0.000, 0.000) and N at (0.000, 0.500, 0.500).



(4)
A plane-wave DFT calculation with PBE-GGA was carried out for an optimized crystal structure of Tb4SiPd3.

The electronic total energy is -5.78 eV/atom. The calculation puts the volume at 22.5 Å³ per atom. The crystal system is monoclinic.

It has space group Pm (No. 6), with a = 5.749 Å, b = 4.152 Å, c = 7.528 Å, α = 90.00°, β = 90.18° and γ = 90.00°. The asymmetric unit holds Tb at (0.000, 0.000, 0.000), Tb at (0.236, 0.000, 0.498), Tb at (0.499, 0.500, 0.133), Tb at (0.735, 0.500, 0.645), Si at (0.229, 0.500, 0.776), Pd at (0.014, 0.500, 0.274), Pd at (0.500, 0.000, 0.857) and Pd at (0.712, 0.000, 0.361).



(5)
A plane-wave DFT calculation with PBE-GGA was carried out for an optimized crystal structure of BeCdSi2.

The electronic total energy is -3.17 eV/atom. The calculation puts the volume at 15.7 Å³ per atom. The crystal system is cubic.

It has space group F-43m (No. 216), with a = 6.316 Å, b = 6.316 Å, c = 6.316 Å, α = 90.00°, β = 90.00° and γ = 90.00°. The asymmetric unit holds Be at (0.000, 0.000, 0.000), Cd at (0.250, 0.250, 0.250), Si at (0.000, 0.000, 0.500) and Si at (0.250, 0.250, 0.750).



(6)
A plane-wave DFT calculation with PBE-GGA was carried out for an optimized crystal structure of ZrTc.

The electronic total energy is -9.50 eV/atom. The calculation puts the volume at 18.1 Å³ per atom. The crystal system is orthorhombic.

It has space group Pnma (No. 62), with a = 5.683 Å, b = 4.705 Å, c = 5.425 Å, α = 90.00°, β = 90.00° and γ = 90.00°. The asymmetric unit holds Zr at (0.136, 0.250, 0.135) and Tc at (0.098, 0.250, 0.644).



(7)
A plane-wave DFT calculation with PBE-GGA was carried out for an optimized crystal structure of TbNpCu.

The polymorph energy (0 for the lowest one) comes out at 0.0000 eV/atom. The electronic total energy is -6.44 eV/atom. The calculation puts the volume at 23.6 Å³ per atom. The crystal system is cubic.

It has space group F-43m (No. 216), with a = 6.567 Å, b = 6.567 Å, c = 6.567 Å, α = 90.00°, β = 90.00° and γ = 90.00°. The asymmetric unit holds Tb at (0.000, 0.000, 0.000), Np at (0.000, 0.000, 0.500) and Cu at (0.250, 0.250, 0.750).



(8)
A plane-wave DFT calculation with PBE-GGA was carried out for an optimized crystal structure of Lu4SbSN2.

The electronic total energy is -6.91 eV/atom. The calculation puts the volume at 17.6 Å³ per atom. The crystal system is hexagonal.

It has space group P-6m2 (No. 187), with a = 3.4893 Å, b = 3.4893 Å, c = 13.3627 Å, α = 90.00°, β = 90.00° and γ = 120.00°. The asymmetric unit holds Lu at (0.0000, 0.0000, 0.1362), Lu at (0.6667, 0.3333, 0.3244), Sb at (0.0000, 0.0000, 0.5000), S at (0.6667, 0.3333, 0.0000) and N at (0.3333, 0.6667, 0.2304).